MnPO2F | GGA+U | relaxed

Results
As for the calculated volume: 13.49 Å³ per atom. The total energy comes out at -5.2782 eV per atom. Its space group is P4/mmm. The magnetization is 1.88 Bohr magnetons per cell.

a b c (Å): 3.5904 3.5904 5.2314
angles (deg): 90.00 90.00 90.00
Closest atoms and distances in Å follow each position.
Atoms (fractional coordinates):
Mn: 0.0000 0.0000 0.0000  4 O 1.80
O: 0.0000 0.5000 0.0000  2 Mn 1.80
P: 0.0000 0.0000 0.5000  4 F 2.54, 2 Mn 2.62
O: 0.5000 0.0000 0.0000  2 Mn 1.80
F: 0.5000 0.5000 0.5000  4 P 2.54